Record 1
Compound: TeP2Pt
Source: the Alexandria database
Functional: GGA-PBE
Structure: optimized geometry

Unit cell a=4.3615 b=4.3615 c=6.8785 alpha=117.46 beta=117.46 gamma=48.58
Sites, in units of the cell vectors:
Te1 0.0000 0.0000 0.0000
P1 0.3009 0.3009 0.6647
P2 0.4572 0.4572 0.4818
Pt1 0.8024 0.8024 0.2318

Summary:
* uncorrected formation energy: 47 meV/atom


Record 2
Compound: EuHoCd4
Source: the Alexandria database
Functional: GGA-PBE
Structure: optimized geometry

Unit cell a=5.9861 b=5.9861 c=5.9861 alpha=60.00 beta=60.00 gamma=60.00
Sites, in units of the cell vectors:
Eu1 0.0000 0.0000 0.0000
Ho1 0.2500 0.2500 0.2500
Cd1 0.1260 0.6247 0.6247
Cd2 0.6247 0.1260 0.6247
Cd3 0.6247 0.6247 0.1260
Cd4 0.6247 0.6247 0.6247

Summary:
* energy relative to the elements: -0.2589 eV/atom


Record 3
Compound: Sr2InH6Ru
Source: the Alexandria database
Functional: GGA-PBE
Structure: optimized geometry

Unit cell a=5.1120 b=5.1120 c=6.9878 alpha=90.00 beta=90.00 gamma=120.00
Sites, in units of the cell vectors:
Sr1 0.3333 0.6667 0.1727
Sr2 0.6667 0.3333 0.8273
In1 0.0000 0.0000 0.5000
H1 0.1609 0.3217 0.8610
H2 0.1609 0.8391 0.8610
H3 0.3217 0.1609 0.1390
H4 0.6783 0.8391 0.8610
H5 0.8391 0.1609 0.1390
H6 0.8391 0.6783 0.1390
Ru1 0.0000 0.0000 0.0000

Summary:
* electronic total energy: -3.9041 eV/atom


Record 4
Compound: PuZnCrTc
Source: the Alexandria database
Functional: GGA-PBE
Structure: optimized geometry

Unit cell a=4.4826 b=4.4826 c=4.4826 alpha=60.00 beta=60.00 gamma=60.00
Sites, in units of the cell vectors:
Pu1 0.0000 0.0000 0.0000
Zn1 0.5000 0.5000 0.5000
Cr1 0.2500 0.2500 0.2500
Tc1 0.7500 0.7500 0.7500

Summary:
* energy relative to the elements: 0.2330 eV/atom


Record 5
Compound: Tl2RuCl
Source: the Alexandria database
Functional: GGA-PBE
Structure: optimized geometry

Unit cell a=3.2650 b=3.2650 c=8.7161 alpha=90.00 beta=90.00 gamma=90.00
Sites, in units of the cell vectors:
Tl1 0.0000 0.0000 0.0000
Tl2 0.5000 0.5000 0.3108
Ru1 0.5000 0.5000 0.7908
Cl1 0.0000 0.0000 0.6196

Summary:
* uncorrected formation energy: 339 meV/atom
* energy above the lowest structure with this stoichiometry: 176 meV per atom


Record 6
Compound: Sm3Al2GaPt9
Source: the Alexandria database
Functional: GGA-PBE
Structure: optimized geometry

Unit cell a=6.4646 b=6.4646 c=8.9946 alpha=90.00 beta=90.00 gamma=120.00
Sites, in units of the cell vectors:
Sm1 0.0000 0.0000 0.0000
Sm2 0.3333 0.6667 0.7267
Sm3 0.6667 0.3333 0.2733
Al1 0.3333 0.6667 0.1835
Al2 0.6667 0.3333 0.8165
Ga1 0.0000 0.0000 0.5000
Pt1 0.0000 0.5000 0.0000
Pt2 0.1397 0.2795 0.2792
Pt3 0.1397 0.8603 0.2792
Pt4 0.2795 0.1397 0.7208
Pt5 0.5000 0.0000 0.0000
Pt6 0.5000 0.5000 0.0000
Pt7 0.7205 0.8603 0.2792
Pt8 0.8603 0.1397 0.7208
Pt9 0.8603 0.7205 0.7208

Summary:
* energy relative to the elements: -0.6843 eV/atom


Record 7
Compound: PrEr4Sc
Source: the Alexandria database
Functional: GGA-PBE
Structure: optimized geometry

Unit cell a=6.0602 b=6.0602 c=6.9706 alpha=106.32 beta=106.32 gamma=48.35
Sites, in units of the cell vectors:
Pr1 0.0000 0.0000 0.0000
Er1 0.3314 0.3314 0.6626
Er2 0.3366 0.3366 0.1719
Er3 0.6634 0.6634 0.8281
Er4 0.6686 0.6686 0.3374
Sc1 0.0000 0.0000 0.5000

Summary:
* energy above the lowest structure with this stoichiometry: 0 meV per atom
* energy relative to the elements: 0.0403 eV/atom


Record 8
Compound: TlCuN
Source: the Alexandria database
Functional: GGA-PBE
Structure: optimized geometry

Unit cell a=3.5609 b=3.6930 c=8.0602 alpha=90.00 beta=90.05 gamma=90.00
Sites, in units of the cell vectors:
Tl1 0.2493 0.2500 0.1618
Tl2 0.7507 0.7500 0.8382
Cu1 0.2499 0.2500 0.5638
Cu2 0.7501 0.7500 0.4362
N1 0.2501 0.7500 0.6149
N2 0.7499 0.2500 0.3851

Summary:
* uncorrected formation energy: 618 meV/atom
* energy above the lowest structure with this stoichiometry: 0 meV per atom


Record 9
Compound: DyErSe2
Source: the Alexandria database
Functional: GGA-PBE
Structure: optimized geometry

Unit cell a=4.2325 b=9.1315 c=6.3861 alpha=90.00 beta=90.00 gamma=90.00
Sites, in units of the cell vectors:
Dy1 0.0000 0.1656 0.0000
Dy2 0.5000 0.8344 0.5000
Er1 0.0000 0.5834 0.1355
Er2 0.5000 0.4166 0.6355
Se1 0.0000 0.3298 0.3650
Se2 0.0000 0.9012 0.2414
Se3 0.5000 0.0988 0.7414
Se4 0.5000 0.6702 0.8650

Summary:
* uncorrected formation energy: -1368 meV/atom
* energy above the lowest structure with this stoichiometry: 357 meV per atom


Record 10
Compound: Sm2NiS
Source: the Alexandria database
Functional: GGA-PBE
Structure: optimized geometry

Unit cell a=11.5549 b=11.5549 c=4.0287 alpha=90.00 beta=90.00 gamma=160.45
Sites, in units of the cell vectors:
Sm1 0.0663 0.9337 0.7500
Sm2 0.3137 0.6863 0.7500
Sm3 0.6863 0.3137 0.2500
Sm4 0.9337 0.0663 0.2500
Ni1 0.4673 0.5327 0.7500
Ni2 0.5327 0.4673 0.2500
S1 0.1909 0.8091 0.7500
S2 0.8091 0.1909 0.2500

Summary:
* uncorrected formation energy: -1181 meV/atom
* energy above the lowest structure with this stoichiometry: 0 meV per atom


Record 11
Compound: In2Co2B
Source: the Alexandria database
Functional: GGA-PBE
Structure: optimized geometry

Unit cell a=5.6507 b=5.6507 c=4.3505 alpha=90.00 beta=90.00 gamma=90.00
Sites, in units of the cell vectors:
In1 0.1703 0.3297 0.0000
In2 0.3297 0.8297 0.0000
In3 0.6703 0.1703 0.0000
In4 0.8297 0.6703 0.0000
Co1 0.1642 0.6642 0.5000
Co2 0.3358 0.1642 0.5000
Co3 0.6642 0.8358 0.5000
Co4 0.8358 0.3358 0.5000
B1 0.0000 0.0000 0.5000
B2 0.5000 0.5000 0.5000

Summary:
* energy above the lowest structure with this stoichiometry: 0 meV per atom
* energy relative to the elements: 0.1963 eV/atom


Record 12
Compound: DyPaAl2
Source: the Alexandria database
Functional: GGA-PBE
Structure: optimized geometry

Unit cell a=4.6424 b=4.6424 c=4.2425 alpha=90.00 beta=90.00 gamma=90.00
Sites, in units of the cell vectors:
Dy1 0.0000 0.0000 0.0000
Pa1 0.5000 0.5000 0.0000
Al1 0.0000 0.5000 0.5000
Al2 0.5000 0.0000 0.5000

Summary:
* energy above the lowest structure with this stoichiometry: 97 meV per atom
* energy relative to the elements: -0.1452 eV/atom


Record 13
Compound: GaHgSe2
Source: the Alexandria database
Functional: GGA-PBE
Structure: optimized geometry

Unit cell a=7.2706 b=7.2706 c=7.2706 alpha=127.33 beta=127.33 gamma=77.71
Sites, in units of the cell vectors:
Ga1 0.0000 0.0000 0.0000
Ga2 0.7500 0.2500 0.5000
Hg1 0.2500 0.7500 0.5000
Hg2 0.5000 0.5000 0.0000
Se1 0.0761 0.6250 0.9511
Se2 0.3750 0.3261 0.4511
Se3 0.6739 0.1250 0.0489
Se4 0.8750 0.9239 0.5489

Summary:
* uncorrected formation energy: -276 meV/atom